# 1
Material: NbTe2SN
Method: DFT, PBE
State: optimized geometry

Lattice parameters (Å, degrees): 5.4818 5.4818 3.9167 90.00 90.00 90.00
Closest atoms and distances in Å follow each position.
Fractional coordinates of all 5 atoms:
Nb (0.0000, 0.0000, 0.0000)  2 N 1.96
N (0.0000, 0.0000, 0.5000)  2 Nb 1.96
Te (0.5000, 0.0000, 0.0000)  2 Nb 2.74
Te (0.0000, 0.5000, 0.0000)  2 Nb 2.74
S (0.5000, 0.5000, 0.5000)  8 Te 3.37

- formation energy (no corrections) (eV/atom) = 0.41
- space group = P4/mmm
- excess energy over the best structure of this formula in the dataset (eV per atom) = 0.000

---

# 2
Material: CaLaIr2
Method: DFT, PBE
State: optimized geometry

Lattice parameters (Å, degrees): 3.4200 3.4200 7.4085 90.00 90.00 90.00
Closest atoms and distances in Å follow each position.
Fractional coordinates of all 4 atoms:
Ca (0.5000, 0.5000, 0.7500)  8 Ir 3.05
Ir (0.0000, 0.0000, 0.9998)  4 Ca 3.05, 4 La 3.05
Ir (0.0000, 0.0000, 0.5002)  4 Ca 3.05, 4 La 3.05
La (0.5000, 0.5000, 0.2500)  8 Ir 3.05

- DFT formation energy (eV per atom) = -0.3411
- space group = P4/mmm
- excess energy over the best structure of this formula in the dataset (eV per atom) = 0.038